The following is a PBE calculation of Al2FeTc after structural relaxation, from the Alexandria database.

Cell lengths 2.7493, 2.7493, 7.4104 Å; angles 90.00, 90.00, 90.00 degrees
Last column: nearest neighbours and their distance in Å.
Atoms (fractional coordinates):
1 Al 0.0000 0.0000 0.0000  4 Tc 2.71, 4 Al 2.75
2 Al 0.5000 0.5000 0.3153  4 Fe 2.52, 4 Al 2.75
3 Fe 0.0000 0.0000 0.5326  4 Tc 2.50, 4 Al 2.52, 4 Fe 2.75
4 Tc 0.5000 0.5000 0.7445  4 Fe 2.50, 4 Al 2.71, 4 Tc 2.75

Properties
The value obtained for the formation energy from the elements is -58 kJ/mol of formula units. Its volume is 14.00 A^3/atom. The value obtained for the density of states at the Fermi level is 0.965 states/eV per atom. Its final energy is -26.911 eV per formula unit. The value obtained for the energy relative to the lowest polymorph listed for this composition is 0.156 eV/atom.